DFT (PBE) results for Ta2Rh3Au2 after structural relaxation.

Cell and atoms, written as POSCAR:
```
Ta2Rh3Au2
1.0
-2.3889 -2.7130 -2.5876
3.9919 -1.2834 1.5165
-2.8080 -0.5350 6.9265
Ta Rh Au
2 3 2
Direct
0.7759 0.3880 0.1637
0.2241 0.6120 0.8363
0.0000 0.0000 0.0000
0.5282 0.2643 0.7939
0.4718 0.7357 0.2061
0.2632 0.1316 0.3927
0.7368 0.8684 0.6073
```

Computed properties:
* formation energy: -304 meV per atom



DFT (PBE) results for CsDyTiSe4 after structural relaxation.

Cell and atoms, written as POSCAR:
```
CsDyTiSe4
1.0
6.8364 0.0000 -0.2019
0.0000 7.1572 0.0000
-2.9430 0.0000 9.4879
Cs Dy Ti Se
2 2 2 8
Direct
0.7413 0.7500 0.9424
0.2586 0.2500 0.0576
0.7896 0.7500 0.4575
0.2104 0.2500 0.5425
0.2335 0.7500 0.3416
0.7665 0.2500 0.6584
0.0117 0.5050 0.6935
0.9883 0.0050 0.3065
0.9883 0.4950 0.3065
0.0117 0.9950 0.6935
0.4400 0.7500 0.1902
0.5600 0.2500 0.8098
0.4537 0.7500 0.5773
0.5463 0.2500 0.4227
```

Computed properties:
* formation energy from raw total energies: -1453 meV per atom



DFT (PBE) results for ScSiOs2 after structural relaxation.

Cell and atoms, written as POSCAR:
```
ScSiOs2
1.0
-1.6803 1.4867 -2.1665
-3.3862 -3.2384 0.4041
-1.7908 2.2375 2.9244
Os Sc Si
2 1 1
Direct
0.0000 0.0000 0.0000
0.5000 0.5000 0.0000
0.5000 0.0000 0.5000
0.0000 0.5000 0.5000
```

Computed properties:
* formation energy from raw total energies: -84 meV per atom



DFT (PBE) results for TlSICl2 after structural relaxation.

Cell and atoms, written as POSCAR:
```
TlSICl2
1.0
5.6032 0.0000 0.0000
0.0000 5.6032 0.0000
0.0000 0.0000 5.1819
I Tl S Cl
1 1 1 2
Direct
0.0000 0.0000 0.0000
0.5000 0.5000 0.5000
0.0000 0.0000 0.5000
0.0000 0.5000 0.0000
0.5000 0.0000 0.0000
```

Computed properties:
* formation energy from raw total energies: -79 meV per atom



DFT (PBE) results for Tm8GaHg2 after structural relaxation.

Cell and atoms, written as POSCAR:
```
Tm8GaHg2
1.0
-4.4472 -2.3605 0.7909
2.3585 -2.4577 5.9263
-1.5302 8.9356 1.6431
Tm Ga Hg
8 1 2
Direct
0.4096 0.5483 0.8191
0.6616 0.9671 0.3231
0.8011 0.6913 0.6021
0.9767 0.2307 0.9534
0.1989 0.3087 0.3979
0.3384 0.0329 0.6769
0.5904 0.4517 0.1809
0.0233 0.7693 0.0466
0.5000 0.0000 0.0000
0.8125 0.2745 0.6251
0.1875 0.7255 0.3749
```

Computed properties:
* formation energy: -264 meV per atom



DFT (PBE) results for EuTlRh after structural relaxation.

Cell and atoms, written as POSCAR:
```
EuTlRh
1.0
4.7996 0.0000 0.0000
2.3998 4.1566 0.0000
2.3998 1.3855 3.9189
Eu Tl Rh
1 1 1
Direct
0.0000 0.0000 0.0000
0.5000 0.5000 0.5000
0.2500 0.2500 0.2500
```

Computed properties:
* formation energy: -293 meV per atom



DFT (PBE) results for EuDy2In after structural relaxation.

Cell and atoms, written as POSCAR:
```
EuDy2In
1.0
-2.5695 4.0513 -0.3421
-0.5621 -0.7682 -4.8752
-4.1612 -2.5646 0.8838
Eu In Dy
1 1 2
Direct
0.5000 0.5000 0.5000
0.5000 0.0000 0.0000
0.0000 0.0000 0.5000
0.0000 0.5000 0.0000
```

Computed properties:
* formation energy: -211 meV per atom



DFT (PBE) results for Ba2NaTl6Pd after structural relaxation.

Cell and atoms, written as POSCAR:
```
Ba2NaTl6Pd
1.0
-4.2437 2.7822 6.0077
3.6879 -4.9330 4.8895
3.6100 2.7825 6.4084
Ba Na Tl Pd
2 1 6 1
Direct
0.2500 0.7500 0.5000
0.7500 0.2500 0.5000
0.5000 0.5000 0.0000
0.2449 0.7551 0.0000
0.7551 0.7551 0.0000
0.2449 0.2449 0.5101
0.7551 0.2449 0.0000
0.2449 0.2449 0.0000
0.7551 0.7551 0.4899
0.0000 0.0000 0.0000
```

Computed properties:
* formation energy: -127 meV per atom



no.,DFT total energy (eV per formula unit)
1,-54.443
2,-37.457
3,-34.549
4,-12.133
5,-42.308
6,-20.870
7,-23.059
8,-25.827